1.
VASP calculation (GGA-PBE) on crystalline InTeIr2Br at its relaxed geometry.

- raw formation energy (eV/atom) = 1.740
- magnetization (μB per formula unit) = 2.8
- theoretical density (Mg/m³) = 8.205

Unit cell a=5.046 b=5.046 c=5.618 alpha=90.00 beta=90.00 gamma=90.00
Space group P4/mmm (No. 123)
Symmetry-distinct sites (fractional):
In 0.000 0.000 0.000 [1 per cell]
Te 0.000 0.000 0.500 [1 per cell]
Ir 0.000 0.500 0.000 [2 per cell]
Br 0.500 0.500 0.500 [1 per cell]



2.
VASP calculation (GGA-PBE) on crystalline TlIn2IrBr at its relaxed geometry.

- raw formation energy (eV/atom) = -0.341
- magnetization (μB per formula unit) = 0.0
- theoretical density (Mg/m³) = 8.011

Unit cell a=5.234 b=5.234 c=5.343 alpha=90.00 beta=90.00 gamma=90.00
Space group P4/mmm (No. 123)
Symmetry-distinct sites (fractional):
Tl 0.000 0.000 0.000 [1 per cell]
In 0.000 0.500 0.500 [2 per cell]
Ir 0.000 0.000 0.500 [1 per cell]
Br 0.500 0.500 0.000 [1 per cell]



3.
VASP calculation (GGA-PBE) on crystalline InIrW2Br at its relaxed geometry.

- raw formation energy (eV/atom) = 1.498
- magnetization (μB per formula unit) = 4.5
- theoretical density (Mg/m³) = 9.863

Unit cell a=4.923 b=4.923 c=5.242 alpha=90.00 beta=90.00 gamma=90.00
Space group P4/mmm (No. 123)
Symmetry-distinct sites (fractional):
In 0.000 0.000 0.000 [1 per cell]
Ir 0.000 0.000 0.500 [1 per cell]
W 0.000 0.500 0.500 [2 per cell]
Br 0.500 0.500 0.000 [1 per cell]



4.
VASP calculation (GGA-PBE) on crystalline ZnIn2IrBr at its relaxed geometry.

- raw formation energy (eV/atom) = -0.228
- magnetization (μB per formula unit) = 0.0
- theoretical density (Mg/m³) = 7.033

Unit cell a=5.238 b=5.238 c=4.881 alpha=90.00 beta=90.00 gamma=90.00
Space group P4/mmm (No. 123)
Symmetry-distinct sites (fractional):
Zn 0.000 0.000 0.000 [1 per cell]
In 0.000 0.500 0.500 [2 per cell]
Ir 0.000 0.000 0.500 [1 per cell]
Br 0.500 0.500 0.000 [1 per cell]



5.
VASP calculation (GGA-PBE) on crystalline KIn2Br8 at its relaxed geometry.

- raw formation energy (eV/atom) = -0.831
- magnetization (μB per formula unit) = 1.1
- theoretical density (Mg/m³) = 3.181

Unit cell a=15.725 b=8.244 c=7.597 alpha=90.00 beta=105.71 gamma=90.00
Space group C2/m (No. 12)
Symmetry-distinct sites (fractional):
K 0.000 0.000 0.000 [2 per cell]
In 0.175 0.000 0.653 [4 per cell]
Br 0.082 0.241 0.710 [8 per cell]
Br 0.177 0.500 0.112 [4 per cell]
Br 0.192 0.000 0.331 [4 per cell]



6.
VASP calculation (GGA-PBE) on crystalline K12In3Br5 at its relaxed geometry.

- raw formation energy (eV/atom) = -0.738
- magnetization (μB per formula unit) = 5.3
- theoretical density (Mg/m³) = 1.935

Unit cell a=20.272 b=20.272 c=20.272 alpha=90.00 beta=90.00 gamma=90.00
Space group Ia-3d (No. 230)
Symmetry-distinct sites (fractional):
K 0.022 0.064 0.652 [96 per cell]
In 0.000 0.250 0.125 [24 per cell]
Br 0.000 0.000 0.000 [16 per cell]
Br 0.000 0.250 0.375 [24 per cell]



7.
VASP calculation (GGA-PBE) on crystalline KIn6Br8 at its relaxed geometry.

- raw formation energy (eV/atom) = -0.740
- magnetization (μB per formula unit) = 0.0
- theoretical density (Mg/m³) = 3.965

Unit cell a=11.8468 b=11.8468 c=14.1333 alpha=90.00 beta=90.00 gamma=120.00
Space group R-3 (No. 148, hexagonal axes)
Symmetry-distinct sites (fractional):
K 0.0000 0.0000 0.0000 [3 per cell]
In 0.0255 0.1857 0.6024 [18 per cell]
Br 0.0000 0.0000 0.2348 [6 per cell]
Br 0.0127 0.3658 0.7271 [18 per cell]



8.
VASP calculation (GGA-PBE) on crystalline KIn2Br3 at its relaxed geometry.

- raw formation energy (eV/atom) = -0.823
- magnetization (μB per formula unit) = 0.0
- theoretical density (Mg/m³) = 3.383

Unit cell a=11.284 b=15.569 c=5.683 alpha=90.00 beta=90.00 gamma=90.00
Space group Cmcm (No. 63)
Symmetry-distinct sites (fractional):
K 0.000 0.202 0.250 [4 per cell]
In 0.145 0.500 0.000 [8 per cell]
Br 0.000 0.326 0.750 [4 per cell]
Br 0.181 0.111 0.750 [8 per cell]



9.
VASP calculation (GGA-PBE) on crystalline K3InBr6 at its relaxed geometry.

- raw formation energy (eV/atom) = -1.387
- magnetization (μB per formula unit) = 0.0
- theoretical density (Mg/m³) = 3.250

Unit cell a=7.821 b=8.323 c=13.506 alpha=90.00 beta=124.21 gamma=90.00
Space group P2_1/c (No. 14)
Symmetry-distinct sites (fractional):
K 0.000 0.000 0.000 [2 per cell]
K 0.213 0.079 0.744 [4 per cell]
In 0.500 0.000 0.500 [2 per cell]
Br 0.164 0.176 0.445 [4 per cell]
Br 0.262 0.726 0.426 [4 per cell]
Br 0.405 0.052 0.275 [4 per cell]



10.
VASP calculation (GGA-PBE) on crystalline K4InBr7 at its relaxed geometry.

- raw formation energy (eV/atom) = -1.273
- magnetization (μB per formula unit) = 0.0
- theoretical density (Mg/m³) = 2.875

Unit cell a=17.600 b=5.558 c=12.946 alpha=90.00 beta=130.73 gamma=90.00
Space group C2/m (No. 12)
Symmetry-distinct sites (fractional):
K 0.118 0.000 0.281 [4 per cell]
K 0.244 0.000 0.865 [4 per cell]
In 0.000 0.500 0.500 [2 per cell]
Br 0.000 0.000 0.500 [2 per cell]
Br 0.051 0.500 0.730 [4 per cell]
Br 0.131 0.000 0.997 [4 per cell]
Br 0.240 0.500 0.366 [4 per cell]



11.
VASP calculation (GGA-PBE) on crystalline K2In2Br7 at its relaxed geometry.

- raw formation energy (eV/atom) = -1.096
- magnetization (μB per formula unit) = 0.0
- theoretical density (Mg/m³) = 2.879

Unit cell a=10.991 b=13.297 c=7.006 alpha=90.00 beta=102.35 gamma=90.00
Space group C2/m (No. 12)
Symmetry-distinct sites (fractional):
K 0.000 0.205 0.000 [4 per cell]
In 0.231 0.500 0.413 [4 per cell]
Br 0.000 0.500 0.500 [2 per cell]
Br 0.096 0.000 0.267 [4 per cell]
Br 0.250 0.163 0.791 [8 per cell]



12.
VASP calculation (GGA-PBE) on crystalline KInBr at its relaxed geometry.

- raw formation energy (eV/atom) = -0.516
- magnetization (μB per formula unit) = 0.5
- theoretical density (Mg/m³) = 3.144

Unit cell a=7.905 b=7.905 c=7.905 alpha=90.00 beta=90.00 gamma=90.00
Space group F-43m (No. 216)
Symmetry-distinct sites (fractional):
K 0.000 0.000 0.000 [4 per cell]
In 0.000 0.000 0.500 [4 per cell]
Br 0.250 0.250 0.250 [4 per cell]



13.
VASP calculation (GGA-PBE) on crystalline KIn2Br at its relaxed geometry.

- raw formation energy (eV/atom) = -0.558
- magnetization (μB per formula unit) = 0.0
- theoretical density (Mg/m³) = 3.783

Unit cell a=4.050 b=4.723 c=7.998 alpha=90.00 beta=90.00 gamma=90.00
Space group Pmm2 (No. 25)
Symmetry-distinct sites (fractional):
K 0.000 0.000 0.000 [1 per cell]
In 0.000 0.000 0.514 [1 per cell]
In 0.500 0.500 0.493 [1 per cell]
Br 0.500 0.500 0.086 [1 per cell]



14.
VASP calculation (GGA-PBE) on crystalline KIn2Br at its relaxed geometry.

- raw formation energy (eV/atom) = -0.154
- magnetization (μB per formula unit) = 0.0
- theoretical density (Mg/m³) = 4.279

Unit cell a=4.028 b=6.330 c=10.612 alpha=90.00 beta=90.00 gamma=90.00
Space group Cmmm (No. 65)
Symmetry-distinct sites (fractional):
K 0.000 0.000 0.000 [2 per cell]
In 0.000 0.500 0.281 [4 per cell]
Br 0.000 0.000 0.500 [2 per cell]



15.
VASP calculation (GGA-PBE) on crystalline KIn2Br at its relaxed geometry.

- raw formation energy (eV/atom) = -0.290
- magnetization (μB per formula unit) = 0.5
- theoretical density (Mg/m³) = 4.490

Unit cell a=8.020 b=8.020 c=8.020 alpha=90.00 beta=90.00 gamma=90.00
Space group F-43m (No. 216)
Symmetry-distinct sites (fractional):
K 0.000 0.000 0.000 [4 per cell]
In 0.000 0.000 0.500 [4 per cell]
In 0.250 0.250 0.250 [4 per cell]
Br 0.250 0.250 0.750 [4 per cell]



16.
VASP calculation (GGA-PBE) on crystalline KIn2Br at its relaxed geometry.

- raw formation energy (eV/atom) = -0.537
- magnetization (μB per formula unit) = 0.0
- theoretical density (Mg/m³) = 4.026

Unit cell a=4.461 b=4.461 c=7.224 alpha=90.00 beta=90.00 gamma=90.00
Space group P4/mmm (No. 123)
Symmetry-distinct sites (fractional):
K 0.000 0.000 0.000 [1 per cell]
In 0.000 0.500 0.500 [2 per cell]
Br 0.500 0.500 0.000 [1 per cell]



17.
VASP calculation (GGA-PBE) on crystalline KIn2Br at its relaxed geometry.

- raw formation energy (eV/atom) = -0.355
- magnetization (μB per formula unit) = 0.0
- theoretical density (Mg/m³) = 4.326

Unit cell a=6.238 b=11.934 c=3.596 alpha=90.00 beta=90.00 gamma=90.00
Space group Cmmm (No. 65)
Symmetry-distinct sites (fractional):
K 0.000 0.000 0.000 [2 per cell]
In 0.250 0.250 0.500 [4 per cell]
Br 0.000 0.500 0.000 [2 per cell]



18.
VASP calculation (GGA-PBE) on crystalline K3InBr at its relaxed geometry.

- raw formation energy (eV/atom) = -0.535
- magnetization (μB per formula unit) = 0.0
- theoretical density (Mg/m³) = 2.092

Unit cell a=6.280 b=6.280 c=6.280 alpha=90.00 beta=90.00 gamma=90.00
Space group Pm-3m (No. 221)
Symmetry-distinct sites (fractional):
K 0.000 0.000 0.500 [3 per cell]
In 0.500 0.500 0.500 [1 per cell]
Br 0.000 0.000 0.000 [1 per cell]



19.
VASP calculation (GGA-PBE) on crystalline KIn2Br at its relaxed geometry.

- raw formation energy (eV/atom) = -0.551
- magnetization (μB per formula unit) = 0.0
- theoretical density (Mg/m³) = 4.016

Unit cell a=4.449 b=4.449 c=29.129 alpha=90.00 beta=90.00 gamma=90.00
Space group I-42d (No. 122)
Symmetry-distinct sites (fractional):
K 0.000 0.000 0.000 [4 per cell]
In 0.243 0.250 0.625 [8 per cell]
Br 0.000 0.000 0.500 [4 per cell]



20.
VASP calculation (GGA-PBE) on crystalline KInBr at its relaxed geometry.

- raw formation energy (eV/atom) = -0.579
- magnetization (μB per formula unit) = 0.0
- theoretical density (Mg/m³) = 3.626

Unit cell a=5.5589 b=5.5589 c=4.0014 alpha=90.00 beta=90.00 gamma=120.00
Space group P-6m2 (No. 187)
Symmetry-distinct sites (fractional):
K 0.0000 0.0000 0.0000 [1 per cell]
In 0.3333 0.6667 0.5000 [1 per cell]
Br 0.6667 0.3333 0.5000 [1 per cell]